# 1
Material: LaYHo2
Method: DFT, PBE-GGA
State: relaxed

The space group is Fm-3m (No. 225) and the conventional cell measures 8.1101, 8.1101 and 8.1101 Å, with angles of 90.00, 90.00 and 90.00 degrees. The asymmetric unit holds La at (0.0000, 0.0000, 0.0000), Y at (0.0000, 0.0000, 0.5000) and Ho at (0.2500, 0.2500, 0.2500).

The calculated formation energy is 0.1163 eV/atom. The value obtained for the density of states at the Fermi level is 1.832 states/eV/atom.

# 2
Material: Ta2TePt
Method: DFT, PBE-GGA
State: relaxed

The space group is I-4m2 (No. 119) and the conventional cell measures 4.0887, 4.0887 and 8.8233 Å, with angles of 90.00, 90.00 and 90.00 degrees. The asymmetric unit holds Ta at (0.0000, 0.0000, 0.0000), Ta at (0.0000, 0.5000, 0.2500), Te at (0.0000, 0.5000, 0.7500) and Pt at (0.0000, 0.0000, 0.5000).

Its uncorrected formation energy is 0.118 eV per atom. The value obtained for the density of states at the Fermi level is 1.062 states/eV/atom.

# 3
Material: Cs3NpAg2Cl9
Method: DFT, PBE-GGA
State: relaxed

The space group is P-3m1 (No. 164) and the conventional cell measures 7.6976, 7.6976 and 9.5480 Å, with angles of 90.00, 90.00 and 120.00 degrees. The asymmetric unit holds Cs at (0.0000, 0.0000, 0.0000), Cs at (0.3333, 0.6667, 0.7122), Np at (0.0000, 0.0000, 0.5000), Ag at (0.3333, 0.6667, 0.1458), Cl at (0.0000, 0.5000, 0.0000) and Cl at (0.1614, 0.3228, 0.3423).

Its uncorrected formation energy is -1.502 eV per atom. The value obtained for the density of states at the Fermi level is 0.437 states/eV/atom.

# 4
Material: Zr2ZnHPt
Method: DFT, PBE-GGA
State: relaxed

The space group is P4/mmm (No. 123) and the conventional cell measures 5.1157, 5.1157 and 4.7587 Å, with angles of 90.00, 90.00 and 90.00 degrees. The asymmetric unit holds Zr at (0.0000, 0.5000, 0.0000), Zn at (0.0000, 0.0000, 0.5000), H at (0.5000, 0.5000, 0.5000) and Pt at (0.0000, 0.0000, 0.0000).

The value obtained for the density of states at the Fermi level is 0.921 states/eV/atom. The calculation puts the energy at -4.9019 eV per atom.

# 5
Material: Cd3SnPb6
Method: DFT, PBE-GGA
State: relaxed

The space group is P2_1/m (No. 11) and the conventional cell measures 10.6663, 4.8946 and 11.0895 Å, with angles of 90.00, 91.89 and 90.00 degrees. The asymmetric unit holds Cd at (0.0504, 0.2500, 0.3973), Cd at (0.1507, 0.7500, 0.1911), Cd at (0.2483, 0.2500, 0.9920), Sn at (0.4500, 0.2500, 0.5954), Pb at (0.0420, 0.7500, 0.8983), Pb at (0.1365, 0.2500, 0.6940), Pb at (0.2416, 0.7500, 0.4924), Pb at (0.3405, 0.2500, 0.2971), Pb at (0.3480, 0.7500, 0.7970) and Pb at (0.4430, 0.7500, 0.0982).

The calculated formation energy is 0.0433 eV/atom. The value obtained for the density of states at the Fermi level is 0.544 states/eV/atom.